Computed, not measured: a PBEsol-optimized structure of Tm2C at the meta-GGA SCAN level of DFT.

abc: 3.4917 3.4917 17.7605
angles: 90.00 90.00 120.00
Space group R-3m (No. 166, hexagonal axes)
Asymmetric unit:
Tm 0.0000 0.0000 0.2406
C 0.0000 0.0000 0.5000

Results
calculated density = 9.29 g/cm³
total energy = -38.39 eV per atom
volume = 187.5 Å³ per cell
formation enthalpy at 0 K = -468.3 meV/atom



Computed, not measured: a PBEsol-optimized structure of TmWC2 at the meta-GGA SCAN level of DFT.

abc: 5.625 3.300 10.647
angles: 90.00 90.00 90.00
Space group Pnma (No. 62)
Asymmetric unit:
Tm 0.085 0.250 0.137
W 0.098 0.750 0.391
C 0.160 0.250 0.753
C 0.231 0.250 0.488

Results
calculated density = 12.66 g/cm³
total energy = -35.82 eV per atom
volume = 197.6 Å³ per cell
formation enthalpy at 0 K = -385.2 meV/atom



Computed, not measured: a PBEsol-optimized structure of UC at the meta-GGA SCAN level of DFT.

abc: 4.879 4.879 4.879
angles: 90.00 90.00 90.00
Space group Fm-3m (No. 225)
Asymmetric unit:
U 0.000 0.000 0.000
C 0.000 0.000 0.500

Results
calculated density = 14.30 g/cm³
total energy = -56.84 eV per atom
volume = 116.2 Å³ per cell
formation enthalpy at 0 K = -30.5 meV/atom



Computed, not measured: a PBEsol-optimized structure of U2C3 at the meta-GGA SCAN level of DFT.

abc: 7.950 7.950 7.950
angles: 90.00 90.00 90.00
Space group I-43d (No. 220)
Asymmetric unit:
U 0.049 0.049 0.049
C 0.000 0.250 0.285

Results
calculated density = 13.54 g/cm³
total energy = -47.50 eV per atom
volume = 502.5 Å³ per cell
formation enthalpy at 0 K = -29.0 meV/atom



Computed, not measured: a PBEsol-optimized structure of U2W2C3 at the meta-GGA SCAN level of DFT.

abc: 11.847 3.105 5.538
angles: 90.00 111.72 90.00
Space group C2/m (No. 12)
Asymmetric unit:
U 0.103 0.000 0.308
W 0.152 0.500 0.837
C 0.000 0.500 0.500
C 0.249 0.000 0.743

Results
calculated density = 15.44 g/cm³
total energy = -53.92 eV per atom
volume = 189.3 Å³ per cell
formation enthalpy at 0 K = -97.0 meV/atom



Computed, not measured: a PBEsol-optimized structure of V2C at the meta-GGA SCAN level of DFT.

abc: 4.507 5.679 4.982
angles: 90.00 90.00 90.00
Space group Pbcn (No. 60)
Asymmetric unit:
V 0.245 0.118 0.077
C 0.000 0.373 0.250

Results
calculated density = 5.93 g/cm³
total energy = -15.58 eV per atom
volume = 127.5 Å³ per cell
formation enthalpy at 0 K = -555.4 meV/atom



Q: The highest total energy belongs to which entry?
A: V2C



Q: Among the records above, which one has the highest formation enthalpy at 0 K?
A: U2C3



Q: What is the total energy in the fourth record?
A: -47.50 eV per atom